## DyMgAgAu (PBE)

Data for a relaxed structure of DyMgAgAu.

The energy above the lowest structure with this stoichiometry is 4 meV per atom. For the mass density, the calculation gives 9.72 Mg/m³. As for the space group: No. 11.

Cell: 4.926 4.926 6.922 Å, 90.00 90.01 90.00°
Fractional positions:
Dy 0.246 0.250 0.241
Dy 0.754 0.750 0.759
Mg 0.248 0.250 0.752
Mg 0.752 0.750 0.248
Ag 0.255 0.750 0.500
Ag 0.745 0.250 0.500
Au 0.255 0.750 0.000
Au 0.745 0.250 0.000